[1]
# LaTl2Pt2 PBE relaxed
# Spin magnetization (μB per formula unit): 0.00
# ΔE to the lowest computed polymorph (meV per atom): 117
data_LaTl2Pt2
_cell_length_a 7.4493
_cell_length_b 7.4493
_cell_length_c 4.3847
_cell_angle_alpha 90.00
_cell_angle_beta 90.00
_cell_angle_gamma 90.00
_symmetry_space_group_name_H-M 'P 4/m b m'
_symmetry_Int_Tables_number 127
_symmetry_space_group_name_Hall '-P 4 2ab'
loop_
_atom_site_label
_atom_site_fract_x
_atom_site_fract_y
_atom_site_fract_z
La1 0.0000 0.0000 0.0000
Tl1 0.1679 0.3321 0.5000
Pt1 0.1286 0.6286 0.0000

=====

[2]
# LaTlPt PBE relaxed
# Spin magnetization (μB per formula unit): 0.00
data_LaTlPt
_cell_length_a 3.8296
_cell_length_b 3.8296
_cell_length_c 10.5270
_cell_angle_alpha 90.00
_cell_angle_beta 90.00
_cell_angle_gamma 90.00
_symmetry_space_group_name_H-M 'I 4 m m'
_symmetry_Int_Tables_number 107
_symmetry_space_group_name_Hall 'I 4 -2'
loop_
_atom_site_label
_atom_site_fract_x
_atom_site_fract_y
_atom_site_fract_z
La1 0.0000 0.0000 0.0000
Tl1 0.0000 0.0000 0.6981
Pt1 0.0000 0.0000 0.3651

=====

[3]
# La2TlPt2 PBE relaxed
# Spin magnetization (μB per formula unit): 0.00
data_La2TlPt2
_cell_length_a 3.9373
_cell_length_b 3.9373
_cell_length_c 17.7025
_cell_angle_alpha 90.00
_cell_angle_beta 90.00
_cell_angle_gamma 90.00
_symmetry_space_group_name_H-M 'I 4/m m m'
_symmetry_Int_Tables_number 139
_symmetry_space_group_name_Hall '-I 4 2'
loop_
_atom_site_label
_atom_site_fract_x
_atom_site_fract_y
_atom_site_fract_z
La1 0.0000 0.0000 0.1242
Tl1 0.0000 0.0000 0.5000
Pt1 0.0000 0.5000 0.2500

=====

[4]
# La2TlPt2 PBE relaxed
# Spin magnetization (μB per formula unit): 0.00
data_La2TlPt2
_cell_length_a 5.6878
_cell_length_b 5.6878
_cell_length_c 8.4654
_cell_angle_alpha 90.00
_cell_angle_beta 90.00
_cell_angle_gamma 90.00
_symmetry_space_group_name_H-M 'I 4/m m m'
_symmetry_Int_Tables_number 139
_symmetry_space_group_name_Hall '-I 4 2'
loop_
_atom_site_label
_atom_site_fract_x
_atom_site_fract_y
_atom_site_fract_z
La1 0.0000 0.5000 0.2500
Tl1 0.0000 0.0000 0.0000
Pt1 0.0000 0.0000 0.3481

=====

[5]
# La2Tl2Pt PBE relaxed
# Spin magnetization (μB per formula unit): 0.00
# ΔE to the lowest computed polymorph (meV per atom): 28
data_La2Tl2Pt
_cell_length_a 7.6466
_cell_length_b 7.6466
_cell_length_c 5.4112
_cell_angle_alpha 90.00
_cell_angle_beta 90.00
_cell_angle_gamma 90.00
_symmetry_space_group_name_H-M 'P 4/m b m'
_symmetry_Int_Tables_number 127
_symmetry_space_group_name_Hall '-P 4 2ab'
loop_
_atom_site_label
_atom_site_fract_x
_atom_site_fract_y
_atom_site_fract_z
La1 0.1645 0.3355 0.0000
Tl1 0.1505 0.6505 0.5000
Pt1 0.0000 0.0000 0.0000

=====

[6]
# La2Tl2Pt PBE relaxed
# Spin magnetization (μB per formula unit): 0.00
# ΔE to the lowest computed polymorph (meV per atom): 0
data_La2Tl2Pt
_cell_length_a 7.5969
_cell_length_b 7.5969
_cell_length_c 4.8693
_cell_angle_alpha 90.00
_cell_angle_beta 90.00
_cell_angle_gamma 90.00
_symmetry_space_group_name_H-M 'P 4/m b m'
_symmetry_Int_Tables_number 127
_symmetry_space_group_name_Hall '-P 4 2ab'
loop_
_atom_site_label
_atom_site_fract_x
_atom_site_fract_y
_atom_site_fract_z
La1 0.1641 0.3359 0.0000
Tl1 0.1431 0.6431 0.5000
Pt1 0.0000 0.0000 0.5000

=====

Number 1: total DFT energy (no corrections) -4.75 eV per atom. Number 2: total DFT energy (no corrections) -5.05 eV per atom. Number 3: total DFT energy (no corrections) -5.58 eV per atom. Number 4: total DFT energy (no corrections) -5.69 eV per atom. Number 5: total DFT energy (no corrections) -4.51 eV per atom. Number 6: total DFT energy (no corrections) -4.54 eV per atom.